Entry 1:
The following is a PBE calculation of a geometry-optimized Ti5GeBi2 structure, from Alexandria.

Summary:
ΔE_f ... 139 kJ/mol of formula units
Uncorrected energy ... -6.302 eV/atom
Symmetry ... Cmcm, No. 63
DOS(E_F) ... 7.200 states/eV/f.u.

Geometry as CIF:
```
data_Ti5GeBi2
_chemical_formula_sum 'Ti10 Ge2 Bi4'
_space_group_name_H-M_alt 'P 1'
_space_group_IT_number 1
_space_group_name_Hall 'P 1'
_cell_length_a 4.7536
_cell_length_b 7.1130
_cell_length_c 11.5780
_cell_angle_alpha 90.00
_cell_angle_beta 90.00
_cell_angle_gamma 109.52
loop_
_atom_site_label
_atom_site_type_symbol
_atom_site_fract_x
_atom_site_fract_y
_atom_site_fract_z
_atom_site_occupancy
Ti1 Ti 0.1181 0.2363 0.3645 1
Ge1 Ge 0.2903 0.5806 0.2500 1
Ti2 Ti 0.8819 0.7637 0.6355 1
Ti3 Ti 0.6979 0.3959 0.5207 1
Ti4 Ti 0.2988 0.5977 0.7500 1
Ti5 Ti 0.8819 0.7637 0.8645 1
Ti6 Ti 0.6979 0.3959 0.9793 1
Ti7 Ti 0.1181 0.2363 0.1355 1
Bi1 Bi 0.0978 0.1956 0.8890 1
Ti8 Ti 0.3021 0.6041 0.4793 1
Bi2 Bi 0.9022 0.8044 0.3890 1
Bi3 Bi 0.0978 0.1956 0.6110 1
Ti9 Ti 0.7012 0.4023 0.2500 1
Bi4 Bi 0.9022 0.8044 0.1110 1
Ti10 Ti 0.3021 0.6041 0.0207 1
Ge2 Ge 0.7097 0.4194 0.7500 1
```


Entry 2:
The following is a PBE calculation of a geometry-optimized Ti2Ge2Bi structure, from Alexandria.

Summary:
ΔE_f ... -44 kJ/mol of formula units
Uncorrected energy ... -5.872 eV/atom
Symmetry ... P4/mbm, No. 127
DOS(E_F) ... 5.134 states/eV/f.u.

Geometry as CIF:
```
data_Ti2Ge2Bi
_chemical_formula_sum 'Ti4 Ge4 Bi2'
_space_group_name_H-M_alt 'P 1'
_space_group_IT_number 1
_space_group_name_Hall 'P 1'
_cell_length_a 7.4309
_cell_length_b 7.4309
_cell_length_c 3.5133
_cell_angle_alpha 90.00
_cell_angle_beta 90.00
_cell_angle_gamma 90.00
loop_
_atom_site_label
_atom_site_type_symbol
_atom_site_fract_x
_atom_site_fract_y
_atom_site_fract_z
_atom_site_occupancy
Bi1 Bi 0.5000 0.5000 0.0000 1
Ge1 Ge 0.8730 0.6270 0.0000 1
Ti1 Ti 0.1592 0.6592 0.5000 1
Bi2 Bi 0.0000 0.0000 0.0000 1
Ge2 Ge 0.6270 0.1270 0.0000 1
Ti2 Ti 0.6592 0.8408 0.5000 1
Ti3 Ti 0.3408 0.1592 0.5000 1
Ti4 Ti 0.8408 0.3408 0.5000 1
Ge3 Ge 0.1270 0.3730 0.0000 1
Ge4 Ge 0.3730 0.8730 0.0000 1
```


Entry 3:
The following is a PBE calculation of a geometry-optimized Ti3GeBi structure, from Alexandria.

Summary:
ΔE_f ... 557 kJ/mol of formula units
Uncorrected energy ... -5.283 eV/atom
Symmetry ... Pm-3m, No. 221
DOS(E_F) ... 7.189 states/eV/f.u.

Geometry as CIF:
```
data_Ti3GeBi
_chemical_formula_sum 'Ti3 Ge1 Bi1'
_space_group_name_H-M_alt 'P 1'
_space_group_IT_number 1
_space_group_name_Hall 'P 1'
_cell_length_a 5.1711
_cell_length_b 5.1711
_cell_length_c 5.1711
_cell_angle_alpha 90.00
_cell_angle_beta 90.00
_cell_angle_gamma 90.00
loop_
_atom_site_label
_atom_site_type_symbol
_atom_site_fract_x
_atom_site_fract_y
_atom_site_fract_z
_atom_site_occupancy
Ge1 Ge 0.5000 0.5000 0.5000 1
Ti1 Ti 0.0000 0.0000 0.5000 1
Ti2 Ti 0.5000 0.0000 0.0000 1
Ti3 Ti 0.0000 0.5000 0.0000 1
Bi1 Bi 0.0000 0.0000 0.0000 1
```